Record 1
Compound: Y2CoTe
Source: the Alexandria database
Functional: GGA-PBEsol
Structure: optimized geometry

Computed properties:
Total energy (eV/atom): -6.60
N(E_F) (states/eV/atom): 0.99
Formation energy without anion corrections (meV/atom): -375

Lattice parameters (Å, degrees): 4.165 5.250 5.250 60.80 66.63 66.63
Each line ends with the local moment (μB).
Positions (direct):
Co 0.500 0.000 0.000  0.17
Te 0.000 0.500 0.500  0.01
Y 0.220 0.780 0.780  -0.03
Y 0.780 0.220 0.220  -0.03



Record 2
Compound: YCoTe2
Source: the Alexandria database
Functional: GGA-PBEsol
Structure: optimized geometry

Computed properties:
Total energy (eV/atom): -6.00
N(E_F) (states/eV/atom): 1.11
Formation energy without anion corrections (meV/atom): -600

Lattice parameters (Å, degrees): 3.682 3.864 6.848 106.39 90.00 90.00
Each line ends with the local moment (μB).
Positions (direct):
Co 0.000 0.755 0.510  1.17
Te 0.000 0.950 0.900  0.03
Te 0.500 0.236 0.471  0.04
Y 0.500 0.559 0.118  -0.02



Record 3
Compound: Zn2CoTe
Source: the Alexandria database
Functional: GGA-PBEsol
Structure: optimized geometry

Computed properties:
Total energy (eV/atom): -3.23
N(E_F) (states/eV/atom): 0.86
Formation energy without anion corrections (meV/atom): 374

Lattice parameters (Å, degrees): 3.038 3.038 8.864 80.13 80.13 60.00
Each line ends with the local moment (μB).
Positions (direct):
Co 0.500 0.500 0.500  1.00
Te 0.000 0.000 0.000  0.00
Zn 0.232 0.232 0.305  -0.02
Zn 0.768 0.768 0.695  -0.02



Record 4
Compound: ZnCo4Te
Source: the Alexandria database
Functional: GGA-PBEsol
Structure: optimized geometry

Computed properties:
Total energy (eV/atom): -5.72
N(E_F) (states/eV/atom): 1.48
Formation energy without anion corrections (meV/atom): 289

Lattice parameters (Å, degrees): 4.795 4.795 4.795 60.00 60.00 60.00
Each line ends with the local moment (μB).
Positions (direct):
Co 0.375 0.375 0.375  1.52
Co 0.375 0.375 0.876  1.52
Co 0.876 0.375 0.375  1.52
Co 0.375 0.876 0.375  1.52
Te 0.750 0.750 0.750  0.01
Zn 0.000 0.000 0.000  -0.06



Record 5
Compound: Zn2CoTe
Source: the Alexandria database
Functional: GGA-PBEsol
Structure: optimized geometry

Computed properties:
Total energy (eV/atom): -3.24
N(E_F) (states/eV/atom): 0.78
Formation energy without anion corrections (meV/atom): 363

Lattice parameters (Å, degrees): 4.463 4.463 4.463 60.00 60.00 60.00
Positions (direct):
Co 0.500 0.500 0.500
Te 0.250 0.250 0.250
Zn 0.000 0.000 0.000
Zn 0.750 0.750 0.750



Record 6
Compound: ZnCoTe
Source: the Alexandria database
Functional: GGA-PBEsol
Structure: optimized geometry

Computed properties:
Total energy (eV/atom): -4.37
Excess energy over the best structure of this formula in the dataset (meV/atom): 0.0
N(E_F) (states/eV/atom): 0.77
Formation energy without anion corrections (meV/atom): -91

Lattice parameters (Å, degrees): 4.130 4.130 4.130 60.00 60.00 60.00
Positions (direct):
Co 0.250 0.250 0.250
Te 0.000 0.000 0.000
Zn 0.500 0.500 0.500